# InNi2Os PBE optimized geometry
# * E: -6.186 eV per atom
# * formation enthalpy at 0 K: 0.20 eV/atom
# * calculated density: 12.4 g cm⁻³
# * size of the total moment: 0.00 Bohr magnetons per cell
# * volume: 14.16 A^3/atom
data_InNi2Os
_chemical_formula_sum 'In1 Ni2 Os1'
_cell_length_a 2.753
_cell_length_b 3.634
_cell_length_c 5.663
_cell_angle_alpha 90.00
_cell_angle_beta 90.11
_cell_angle_gamma 90.00
_symmetry_space_group_name_H-M 'P 1 2/m 1'
_symmetry_Int_Tables_number 10
_symmetry_space_group_name_Hall '-P 2y'
loop_
_atom_site_label
_atom_site_fract_x
_atom_site_fract_y
_atom_site_fract_z
In1 0.000 0.000 0.000
Ni1 0.500 0.500 0.281
Os1 0.000 0.000 0.500